(w)
# Cs2AuF4

A relaxed Cs2AuF4 crystal (PBE-GGA, Alexandria via LeMat-Bulk).

The total magnetic moment comes out at 0.00 μB per formula unit. The value obtained for the density is 5.00 g/cm3.

a = 7.8900 Å, b = 6.1437 Å, c = 8.9385 Å
α = 90.00°, β = 124.31°, γ = 90.00°
Fractional coordinates of all 14 atoms:
F: 0.8522 0.2500 0.7012
F: 0.1478 0.7500 0.2988
Cs: 0.3133 0.2500 0.8884
Cs: 0.6881 0.7500 0.5748
Cs: 0.3119 0.2500 0.4252
F: 0.4247 0.9958 0.2127
F: 0.8507 0.2500 0.1496
F: 0.5753 0.0042 0.7873
Au: 0.8488 0.2500 0.9240
Cs: 0.6867 0.7500 0.1116
F: 0.5753 0.4958 0.7873
F: 0.4247 0.5042 0.2127
F: 0.1493 0.7500 0.8504
Au: 0.1512 0.7500 0.0760

(x)
# Cs2AuF4

A relaxed Cs2AuF4 crystal (PBE-GGA, Alexandria via LeMat-Bulk).

The total magnetic moment comes out at 1.00 μB per formula unit. The value obtained for the density is 4.77 g/cm3.

a = 4.0086 Å, b = 6.8423 Å, c = 6.8423 Å
α = 90.00°, β = 90.00°, γ = 90.00°
Each line ends with the local moment (μB).
Fractional coordinates of all 7 atoms:
Cs: 0.5000 0.5000 0.0000  0.00
Au: 0.0000 0.0000 0.0000  0.55
F: 0.0000 0.7802 0.2198  0.10
F: 0.0000 0.2198 0.7802  0.10
F: 0.0000 0.7802 0.7802  0.10
F: 0.0000 0.2198 0.2198  0.10
Cs: 0.5000 0.0000 0.5000  0.00

(y)
# Cs2AuF4

A relaxed Cs2AuF4 crystal (PBE-GGA, Alexandria via LeMat-Bulk).

The total magnetic moment comes out at 0.74 μB per formula unit. The value obtained for the density is 5.55 g/cm3.

a = 4.7545 Å, b = 4.7545 Å, c = 7.8847 Å
α = 72.45°, β = 72.45°, γ = 90.00°
Each line ends with the local moment (μB).
Fractional coordinates of all 7 atoms:
Au: 0.0000 0.0000 0.0000  0.44
Cs: 0.6396 0.6396 0.7207  0.00
F: 0.8497 0.8497 0.3006  0.06
F: 0.1503 0.1503 0.6994  0.06
Cs: 0.3604 0.3604 0.2793  0.00
F: 0.0000 0.5000 0.0000  0.08
F: 0.5000 0.0000 0.0000  0.08

The winner here is (x), beating the second structure by 46 meV/atom.